Below is a geometry-optimized Na3TiPt structure, with properties calculated at the PBE-GGA level.

Values from the calculation:
formation energy from the elements = 1.424 eV per atom
magnetic moment = 3.04 μB per formula unit
uncorrected energy = -2.16 eV/atom
crystal system = cubic
symmetry = Pm-3m
energy relative to the lowest polymorph listed for this composition = 2.45 eV/f.u.

a = 5.559 Å, b = 5.559 Å, c = 5.559 Å
α = 90.00°, β = 90.00°, γ = 90.00°
Atoms (fractional coordinates):
1 Na 0.000 0.000 0.500
2 Na 0.000 0.500 0.000
3 Na 0.500 0.000 0.000
4 Ti 0.000 0.000 0.000
5 Pt 0.500 0.500 0.500